# 1
LaMgBi2C: optimized geometry, PBE.

Lattice parameters (Å, degrees): 5.2666 5.2666 6.0680 90.00 90.00 90.00
Closest atoms and distances in Å follow each position.
Space group P4/mmm (No. 123)
Asymmetric unit:
La1 0.0000 0.0000 0.0000  2 Mg 3.03
Mg1 0.0000 0.0000 0.5000  4 Bi 2.63
Bi1 0.0000 0.5000 0.5000  2 Mg 2.63
C1 0.5000 0.5000 0.0000  4 La 3.72, 8 Bi 4.02


# 2
La3Ho2In4: optimized geometry, PBE.

Lattice parameters (Å, degrees): 12.0830 5.1248 10.1239 90.00 119.65 90.00
Closest atoms and distances in Å follow each position.
Space group C2/m (No. 12)
Asymmetric unit:
La1 0.0000 0.0000 0.0000  6 In 3.41-3.73, 4 Ho 3.72
La2 0.1474 0.5000 0.6808  7 In 3.32-3.61, 3 Ho 3.54-3.58, 1 La 3.63
Ho1 0.1401 0.5000 0.3063  4 In 3.04-3.35
In1 0.0617 0.0000 0.3995  3 Ho 3.04-3.35, 1 In 3.06, 2 La 3.40
In2 0.1989 0.5000 0.0349  2 In 3.07, 1 Ho 3.16, 3 La 3.32-3.41


no.,formation enthalpy at 0 K (eV/atom),ρ (Mg/m³),Fermi-level density of states (states/eV/cell)
1,1.447,5.85,4.945
2,-0.397,7.35,14.690